1.
The following is a DFT calculation (GGA-PBE) of a relaxed structure of Dy2BeNiPt6.

```
Dy2BeNiPt6
1.0
4.7865 -2.7688 0.0000
4.7865 2.7688 0.0000
-3.1822 0.0000 6.9310
Dy Be Ni Pt
2 1 1 6
Cartesian
1.5945 0.0000 0.7700
4.7963 0.0000 6.1610
-1.5911 0.0000 3.4655
4.7865 0.0000 0.0000
0.0264 0.0000 4.9925
2.3925 1.3677 4.9898
3.9984 1.3677 1.9411
2.3925 -1.3677 4.9898
3.9984 -1.3677 1.9411
6.3645 0.0000 1.9385
```

formation energy: -0.73 eV/atom

2.
The following is a DFT calculation (GGA-PBE) of a relaxed structure of Dy2Be3Si4Ni.

```
Dy2Be3Si4Ni
1.0
3.8798 0.0000 0.0000
0.0000 3.8798 0.0000
0.0000 0.0000 9.5950
Dy Be Si Ni
2 3 4 1
Cartesian
0.0000 1.9399 2.3861
1.9399 0.0000 7.2089
0.0000 0.0000 0.0000
0.0000 1.9399 6.0852
1.9399 0.0000 3.5097
0.0000 0.0000 4.7975
0.0000 1.9399 8.3393
1.9399 0.0000 1.2556
1.9399 1.9399 4.7975
1.9399 1.9399 0.0000
```

E_form (uncorrected): -11.9 kcal/mol of atoms